BaSm2CoO5, optimized geometry, DFT GGA+U; total DFT energy (no corrections) = -65.70 eV per cell; calculated volume = 14.9 A^3/atom; density of states at the Fermi level = 0.00 states/eV/f.u.; mass density = 7.15 g/cm³; crystal system = orthorhombic
1.0
-3.516 -3.080 5.042
-4.833 -4.570 -1.739
6.638 1.783 -0.152
Sm O Co Ba
2 5 1 1
Direct
0.297 0.297 0.000
0.703 0.703 0.000
0.594 0.852 0.742
0.890 0.148 0.742
0.110 0.852 0.258
0.500 0.500 0.000
0.406 0.148 0.258
0.500 0.000 0.500
0.000 0.500 0.500